An optimized crystal structure of Mg6PdPb. Source: the Alexandria database, functional PBE-GGA.

POSCAR file:
```
Mg6PdPb
1.0
4.113 -0.263 6.270
-1.612 -4.637 5.674
0.847 -0.093 -7.455
Mg Pd Pb
6 1 1
Direct
0.239 0.239 0.000
0.880 0.380 0.500
0.380 0.880 0.500
0.120 0.620 0.500
0.761 0.761 0.000
0.620 0.120 0.500
0.000 0.000 0.000
0.500 0.500 0.000
```

Properties
Energy of formation ... -145.4 meV/atom
Offset from the most stable computed form ... 0.0578 eV/atom